# 1
Material: Li5ZnIn4
Method: DFT, PBE
State: relaxed

The space group is P4/mmm (No. 123) and the conventional cell measures 3.171, 3.171 and 18.844 Å, with angles of 90.00, 90.00 and 90.00 degrees. The distinct sites, in fractional coordinates, are Li at (0.000, 0.000, 0.000), Li at (0.000, 0.000, 0.211), Li at (0.000, 0.000, 0.418), Zn at (0.500, 0.500, 0.500), In at (0.500, 0.500, 0.105) and In at (0.500, 0.500, 0.318).

=====

# 2
Material: Pr4SmEr
Method: DFT, PBE
State: relaxed

The space group is C2/m (No. 12) and the conventional cell measures 11.926, 3.505 and 11.721 Å, with angles of 90.00, 119.51 and 90.00 degrees. The distinct sites, in fractional coordinates, are Pr at (0.187, 0.000, 0.342), Pr at (0.189, 0.000, 0.846), Sm at (0.000, 0.000, 0.500) and Er at (0.000, 0.000, 0.000).

=====

# 3
Material: VCdSb2
Method: DFT, PBE
State: relaxed

For the uncorrected formation energy, the calculation gives 0.33 eV per atom.

The space group is I-42d (No. 122) and the conventional cell measures 6.368, 6.368 and 12.613 Å, with angles of 90.00, 90.00 and 90.00 degrees. The distinct sites, in fractional coordinates, are V at (0.000, 0.000, 0.000), Cd at (0.000, 0.000, 0.500) and Sb at (0.212, 0.250, 0.125).

=====

# 4
Material: Rb2TlHg8
Method: DFT, PBE
State: relaxed

The space group is P-1 (No. 2) and the conventional cell measures 5.727, 7.516 and 8.985 Å, with angles of 73.64, 77.92 and 87.09 degrees. The distinct sites, in fractional coordinates, are Rb at (0.188, 0.269, 0.130), Tl at (0.000, 0.500, 0.500), Hg at (0.232, 0.771, 0.133), Hg at (0.252, 0.912, 0.497), Hg at (0.300, 0.079, 0.782) and Hg at (0.420, 0.522, 0.685).

=====

# 5
Material: Li4Ga
Method: DFT, PBE
State: relaxed

The space group is P-1 (No. 2) and the conventional cell measures 2.827, 4.595 and 6.961 Å, with angles of 105.63, 97.70 and 94.61 degrees. The distinct sites, in fractional coordinates, are Li at (0.089, 0.398, 0.316), Li at (0.256, 0.192, 0.876) and Ga at (0.500, 0.000, 0.500).

=====

# 6
Material: Cs2ThInS5
Method: DFT, PBE
State: relaxed

For the uncorrected formation energy, the calculation gives -1.16 eV per atom.

The space group is Cmc2_1 (No. 36) and the conventional cell measures 4.145, 20.857 and 15.020 Å, with angles of 90.00, 90.00 and 90.00 degrees. The distinct sites, in fractional coordinates, are Cs at (0.000, 0.120, 0.000), Cs at (0.000, 0.134, 0.633), Th at (0.000, 0.203, 0.338), In at (0.000, 0.437, 0.749), S at (0.000, 0.060, 0.347), S at (0.000, 0.297, 0.957), S at (0.000, 0.317, 0.710), S at (0.000, 0.332, 0.321) and S at (0.000, 0.496, 0.612).

=====

# 7
Material: TlAsS2I
Method: DFT, PBE
State: relaxed

For the uncorrected formation energy, the calculation gives 0.18 eV per atom.

The space group is P4/mmm (No. 123) and the conventional cell measures 4.703, 4.703 and 7.109 Å, with angles of 90.00, 90.00 and 90.00 degrees. The distinct sites, in fractional coordinates, are Tl at (0.000, 0.000, 0.000), As at (0.000, 0.000, 0.500), S at (0.000, 0.500, 0.500) and I at (0.500, 0.500, 0.000).

=====

# 8
Material: Nd2Dy6Tm3Pu
Method: DFT, PBE
State: relaxed

The space group is C2/m (No. 12) and the conventional cell measures 6.134, 10.635 and 11.705 Å, with angles of 90.00, 100.12 and 90.00 degrees. The distinct sites, in fractional coordinates, are Nd at (0.000, 0.167, 0.000), Dy at (0.246, 0.500, 0.747), Dy at (0.248, 0.335, 0.252), Tm at (0.000, 0.000, 0.500), Tm at (0.000, 0.333, 0.500) and Pu at (0.000, 0.500, 0.000).

=====

# 9
Material: AcSmGaRu
Method: DFT, PBE
State: relaxed

The space group is F-43m (No. 216) and the conventional cell measures 7.375, 7.375 and 7.375 Å, with angles of 90.00, 90.00 and 90.00 degrees. The distinct sites, in fractional coordinates, are Ac at (0.000, 0.000, 0.000), Sm at (0.000, 0.000, 0.500), Ga at (0.250, 0.250, 0.250) and Ru at (0.250, 0.250, 0.750).

=====

# 10
Material: Cs2Pu3Br8
Method: DFT, PBE
State: relaxed

For the uncorrected formation energy, the calculation gives -1.54 eV per atom.

The space group is C2/m (No. 12) and the conventional cell measures 17.686, 8.758 and 7.548 Å, with angles of 90.00, 106.68 and 90.00 degrees. The distinct sites, in fractional coordinates, are Cs at (0.236, 0.000, 0.176), Pu at (0.000, 0.251, 0.500), Pu at (0.000, 0.500, 0.000), Br at (0.099, 0.500, 0.395), Br at (0.101, 0.268, 0.892) and Br at (0.108, 0.000, 0.464).

=====

| no. | uncorrected energy (Ry/atom) |
| --- | --- |
| 1 | -0.1783 |
| 2 | -0.3352 |
| 3 | -0.3115 |
| 4 | -0.0558 |
| 5 | -0.1682 |
| 6 | -0.3510 |
| 7 | -0.2342 |
| 8 | -0.3937 |
| 9 | -0.4039 |
| 10 | -0.4418 |